Material: CaTiTl2O6
Method: DFT, PBE
State: optimized geometry

## Properties
Formation energy from raw total energies, eV per atom: -1.824
Symmetry: No. 146
E_tot, eV/atom: -6.262

Cell lengths 5.933, 5.933, 5.933 Å; angles 56.83, 56.83, 56.83 degrees
Element x y z (fractional)
Ca 0.000 0.000 0.000
Ti 0.500 0.500 0.500
Tl 0.225 0.225 0.225
Tl 0.718 0.718 0.718
O 0.157 0.406 0.759
O 0.319 0.864 0.605
O 0.406 0.759 0.157
O 0.605 0.319 0.864
O 0.759 0.157 0.406
O 0.864 0.605 0.319